VASP calculation (PBE) on crystalline LaTbPr2Sc at its relaxed geometry.

Computed properties:
Spin magnetization, μB/f.u.: 0.0
Fermi-level density of states, states/eV/f.u.: 5.5
ΔE_f, eV per atom: 0.172
Space-group type: Pmma
Energy, eV per cell: -49.18

Lattice parameters (Å, degrees): 6.7551 7.8087 6.3640 90.02 90.00 90.00
Atoms (fractional coordinates):
La  0.3029  0.5000  0.7500
La  0.6971  0.5000  0.2500
Tb  0.5956  0.0000  0.2500
Tb  0.4044  0.0000  0.7500
Pr  0.7802  0.7077  0.7499
Pr  0.7802  0.2923  0.7501
Pr  0.2198  0.7077  0.2499
Pr  0.2198  0.2923  0.2501
Sc  0.0000  0.0000  0.0000
Sc  0.0000  0.0000  0.5000

***

VASP calculation (PBE) on crystalline La4Tb2PrSc at its relaxed geometry.

Computed properties:
Spin magnetization, μB/f.u.: 0.0
Fermi-level density of states, states/eV/f.u.: 13.6
ΔE_f, eV per atom: 0.054
Space-group type: P2/m
Energy, eV per cell: -39.65

Lattice parameters (Å, degrees): 6.0016 9.6898 6.0018 51.72 90.00 90.00
Atoms (fractional coordinates):
La  0.0000  0.7440  0.7570
La  0.0000  0.2560  0.2430
La  0.5000  0.7423  0.2574
La  0.5000  0.2577  0.7426
Tb  0.0000  0.0000  0.0000
Tb  0.5000  0.0000  0.5000
Pr  0.5000  0.5000  0.0000
Sc  0.0000  0.5000  0.5000

***

VASP calculation (PBE) on crystalline La2TbPr4Sc at its relaxed geometry.

Computed properties:
Spin magnetization, μB/f.u.: 0.0
Fermi-level density of states, states/eV/f.u.: 13.7
ΔE_f, eV per atom: 0.037
Space-group type: P2/m
Energy, eV per cell: -39.64

Lattice parameters (Å, degrees): 5.1570 5.1225 11.5643 63.66 90.00 90.00
Atoms (fractional coordinates):
La  0.0000  0.0000  0.0000
La  0.5000  0.0000  0.5000
Tb  0.5000  0.5000  0.0000
Pr  0.0000  0.7557  0.7450
Pr  0.0000  0.2443  0.2550
Pr  0.5000  0.7456  0.2543
Pr  0.5000  0.2544  0.7457
Sc  0.0000  0.5000  0.5000

***

Q: Among the records above, which one has the lowest ΔE_f?
A: La2TbPr4Sc